1.
Compound: ReSiAs2
Source: Alexandria via LeMat-Bulk
Functional: GGA-PBE
Structure: relaxed

Properties
symmetry	C2/m
total DFT energy (no corrections)	-6.40	eV/atom
crystal system	monoclinic

Unit cell a=8.868 b=3.162 c=4.649 alpha=90.00 beta=97.61 gamma=90.00
Fractional coordinates of all 8 atoms:
Re: 0.000 0.000 0.000
Re: 0.500 0.500 0.000
Si: 0.000 0.500 0.500
Si: 0.500 0.000 0.500
As: 0.222 0.500 0.234
As: 0.278 0.000 0.766
As: 0.722 0.000 0.234
As: 0.778 0.500 0.766

***

2.
Compound: CeNdZnCd
Source: Alexandria via LeMat-Bulk
Functional: GGA-PBE
Structure: relaxed

Properties
symmetry	P4mm
crystal system	tetragonal
ΔE to the lowest computed polymorph	0.00	eV/f.u.
ΔE_f	-228	meV per atom

Unit cell a=3.694 b=3.694 c=7.722 alpha=90.00 beta=90.00 gamma=90.00
Fractional coordinates of all 4 atoms:
Ce: 0.000 0.000 0.000
Nd: 0.000 0.000 0.460
Zn: 0.500 0.500 0.228
Cd: 0.500 0.500 0.730

***

Number 2 is which compound? CeNdZnCd